[1]
The following is a PBE calculation of Tb5Sm3Tl2 after structural relaxation, from Alexandria.

a b c (Å): 10.5942 10.5942 10.5942
angles (deg): 104.60 86.34 144.27
Last column: nearest neighbours and their distance in Å.
Fractional coordinates of all 20 atoms:
Tb (0.1637, 0.1197, 0.2834)  1 Tl 2.95
Tb (0.2500, 0.0027, 0.7527)  2 Tl 3.18, 5 Tb 3.20-3.43, 1 Sm 3.27
Tb (0.2500, 0.2500, 0.0000)  8 Tb 3.20-3.38
Tb (0.2500, 0.4973, 0.2473)  2 Tl 3.18, 5 Tb 3.20-3.43, 1 Sm 3.27
Tb (0.3363, 0.6197, 0.9560)  1 Tl 2.95
Tb (0.6637, 0.3803, 0.0440)  1 Tl 2.95
Tb (0.7500, 0.5027, 0.7527)  2 Tl 3.18, 5 Tb 3.20-3.43, 1 Sm 3.27
Tb (0.7500, 0.7500, 0.0000)  8 Tb 3.20-3.38
Tb (0.7500, 0.9973, 0.2473)  2 Tl 3.18, 5 Tb 3.20-3.43, 1 Sm 3.27
Tb (0.8363, 0.8803, 0.7166)  1 Tl 2.95
Sm (0.2373, 0.3815, 0.6188)  4 Tb 3.44-3.59, 4 Tl 3.55-3.69
Sm (0.2500, 0.7500, 0.5000)  2 Sm 3.25, 4 Tl 3.27, 2 Tb 3.27
Sm (0.2627, 0.8815, 0.1441)  4 Tb 3.44-3.59, 4 Tl 3.55-3.69
Sm (0.7373, 0.1185, 0.8559)  4 Tb 3.44-3.59, 4 Tl 3.55-3.69
Sm (0.7500, 0.2500, 0.5000)  2 Sm 3.25, 4 Tl 3.27, 2 Tb 3.27
Sm (0.7627, 0.6185, 0.3812)  4 Tb 3.44-3.59, 4 Tl 3.55-3.69
Tl (0.1455, 0.6333, 0.7788)  3 Tb 2.95-3.18, 2 Sm 3.27
Tl (0.3545, 0.1333, 0.4877)  3 Tb 2.95-3.18, 2 Sm 3.27
Tl (0.6455, 0.8667, 0.5123)  3 Tb 2.95-3.18, 2 Sm 3.27
Tl (0.8545, 0.3667, 0.2212)  3 Tb 2.95-3.18, 2 Sm 3.27

## Properties
symmetry = Ibam
spin magnetization = 0.00 μB per formula unit
energy relative to the elements = 1.0 eV per formula unit
calculated density = 8.44 g cm⁻³

[2]
The following is a PBE calculation of Tb2Sm3Tl4 after structural relaxation, from Alexandria.

a b c (Å): 8.6631 8.6631 9.7570
angles (deg): 90.00 90.00 130.07
Last column: nearest neighbours and their distance in Å.
Fractional coordinates of all 18 atoms:
Tb (0.1062, 0.8938, 0.9444)  3 Tl 3.21, 1 Tb 3.51
Tb (0.3938, 0.6062, 0.4444)  3 Tl 3.21, 1 Tb 3.51
Tb (0.6062, 0.3938, 0.5556)  3 Tl 3.21, 1 Tb 3.51
Tb (0.8938, 0.1062, 0.0556)  3 Tl 3.21, 1 Tb 3.51
Sm (0.0000, 0.0000, 0.5000)  6 Tl 3.05-3.08
Sm (0.0345, 0.4655, 0.7500)  5 Tl 3.17-3.27
Sm (0.4655, 0.0345, 0.2500)  5 Tl 3.17-3.27
Sm (0.5000, 0.5000, 0.0000)  6 Tl 3.05-3.08
Sm (0.5345, 0.9655, 0.7500)  5 Tl 3.17-3.27
Sm (0.9655, 0.5345, 0.2500)  5 Tl 3.17-3.27
Tl (0.1956, 0.8044, 0.5264)  5 Sm 3.08-3.27, 1 Tb 3.21
Tl (0.2390, 0.2610, 0.7500)  3 Sm 3.05-3.21, 2 Tb 3.21
Tl (0.2610, 0.2390, 0.2500)  3 Sm 3.05-3.21, 2 Tb 3.21
Tl (0.3044, 0.6956, 0.0264)  5 Sm 3.08-3.27, 1 Tb 3.21
Tl (0.6956, 0.3044, 0.9736)  5 Sm 3.08-3.27, 1 Tb 3.21
Tl (0.7390, 0.7610, 0.7500)  3 Sm 3.05-3.21, 2 Tb 3.21
Tl (0.7610, 0.7390, 0.2500)  3 Sm 3.05-3.21, 2 Tb 3.21
Tl (0.8044, 0.1956, 0.4736)  5 Sm 3.08-3.27, 1 Tb 3.21

## Properties
symmetry = Cmce
spin magnetization = 0.00 μB per formula unit
energy relative to the elements = -1.8 eV per formula unit
E above lowest polymorph = 112 meV per atom
calculated density = 9.40 g cm⁻³

[3]
The following is a PBE calculation of Tb3Sm5Tl2 after structural relaxation, from Alexandria.

a b c (Å): 10.6208 10.6208 10.6208
angles (deg): 103.97 87.07 144.06
Last column: nearest neighbours and their distance in Å.
Fractional coordinates of all 20 atoms:
Tb (0.2334, 0.1132, 0.3466)  3 Tl 3.43-3.56, 4 Sm 3.48-3.64
Tb (0.2500, 0.2500, 0.0000)  4 Tl 3.22, 2 Sm 3.27, 2 Tb 3.28
Tb (0.2666, 0.6132, 0.8798)  3 Tl 3.43-3.56, 4 Sm 3.48-3.64
Tb (0.7334, 0.3868, 0.1202)  3 Tl 3.43-3.56, 4 Sm 3.48-3.64
Tb (0.7500, 0.7500, 0.0000)  4 Tl 3.22, 2 Sm 3.27, 2 Tb 3.28
Tb (0.7666, 0.8868, 0.6534)  3 Tl 3.43-3.56, 4 Sm 3.48-3.64
Sm (0.1638, 0.3766, 0.5404)  1 Tl 2.96
Sm (0.2500, 0.9997, 0.7497)  2 Tl 3.20, 5 Sm 3.27-3.43, 1 Tb 3.27
Sm (0.2500, 0.5003, 0.2503)  2 Tl 3.20, 5 Sm 3.27-3.43, 1 Tb 3.27
Sm (0.2500, 0.7500, 0.5000)  8 Sm 3.27-3.41
Sm (0.3362, 0.8766, 0.2128)  1 Tl 2.96
Sm (0.6638, 0.1234, 0.7872)  1 Tl 2.96
Sm (0.7500, 0.0003, 0.2503)  2 Tl 3.20, 5 Sm 3.27-3.43, 1 Tb 3.27
Sm (0.7500, 0.2500, 0.5000)  8 Sm 3.27-3.41
Sm (0.7500, 0.4997, 0.7497)  2 Tl 3.20, 5 Sm 3.27-3.43, 1 Tb 3.27
Sm (0.8362, 0.6234, 0.4596)  1 Tl 2.96
Tl (0.1441, 0.8732, 0.0173)  3 Sm 2.96-3.20, 2 Tb 3.22
Tl (0.3559, 0.3732, 0.7291)  3 Sm 2.96-3.20, 2 Tb 3.22
Tl (0.6441, 0.6268, 0.2709)  3 Sm 2.96-3.20, 2 Tb 3.22
Tl (0.8559, 0.1268, 0.9827)  3 Sm 2.96-3.20, 2 Tb 3.22

## Properties
symmetry = Ibam
spin magnetization = 0.00 μB per formula unit
energy relative to the elements = 1.4 eV per formula unit
calculated density = 8.24 g cm⁻³

[4]
The following is a PBE calculation of Tb5Sm2Tl after structural relaxation, from Alexandria.

a b c (Å): 11.2930 7.1457 8.3453
angles (deg): 90.00 132.32 90.00
Last column: nearest neighbours and their distance in Å.
Fractional coordinates of all 16 atoms:
Tb (0.0000, 0.0000, 0.0000)  1 Tl 3.37, 8 Tb 3.40-3.62, 3 Sm 3.60-3.61
Tb (0.2365, 0.2497, 0.5087)  2 Tl 3.45-3.46, 4 Sm 3.51-3.62, 6 Tb 3.52-3.62
Tb (0.2365, 0.7503, 0.5087)  2 Tl 3.45-3.46, 4 Sm 3.51-3.62, 6 Tb 3.52-3.62
Tb (0.3170, 0.2633, 0.1685)  4 Sm 3.38-3.69, 6 Tb 3.38-3.76, 2 Tl 3.43-3.70
Tb (0.3170, 0.7367, 0.1685)  4 Sm 3.38-3.69, 6 Tb 3.38-3.76, 2 Tl 3.43-3.70
Tb (0.5000, 0.5000, 0.0000)  1 Tl 3.37, 8 Tb 3.40-3.62, 3 Sm 3.60-3.61
Tb (0.7365, 0.2503, 0.5087)  2 Tl 3.45-3.46, 4 Sm 3.51-3.62, 6 Tb 3.52-3.62
Tb (0.7365, 0.7497, 0.5087)  2 Tl 3.45-3.46, 4 Sm 3.51-3.62, 6 Tb 3.52-3.62
Tb (0.8170, 0.2367, 0.1685)  4 Sm 3.38-3.69, 6 Tb 3.38-3.76, 2 Tl 3.43-3.70
Tb (0.8170, 0.7633, 0.1685)  4 Sm 3.38-3.69, 6 Tb 3.38-3.76, 2 Tl 3.43-3.70
Sm (0.0739, 0.5000, 0.6835)  9 Tb 3.44-3.69, 2 Tl 3.58, 1 Sm 3.59
Sm (0.4635, 0.0000, 0.9990)  10 Tb 3.38-3.63, 1 Tl 3.40, 1 Sm 3.59
Sm (0.5739, 0.0000, 0.6835)  9 Tb 3.44-3.69, 2 Tl 3.58, 1 Sm 3.59
Sm (0.9635, 0.5000, 0.9990)  10 Tb 3.38-3.63, 1 Tl 3.40, 1 Sm 3.59
Tl (0.0572, 0.0000, 0.6521)  9 Tb 3.37-3.70, 3 Sm 3.40-3.58
Tl (0.5572, 0.5000, 0.6521)  9 Tb 3.37-3.70, 3 Sm 3.40-3.58

## Properties
symmetry = Cm
spin magnetization = 0.00 μB per formula unit
energy relative to the elements = -0.5 eV per formula unit
E above lowest polymorph = 0 meV per atom
calculated density = 8.67 g cm⁻³

- Look up the calculated density of the first one.
  8.44 g cm⁻³